1.
Compound: Er6Co2Ni
Source: Alexandria via LeMat-Bulk
Functional: GGA-PBE
Structure: optimized geometry

Cell lengths 6.3537, 7.0644, 11.1952 Å; angles 90.00, 122.23, 90.00 degrees
Closest atoms and distances in Å follow each position.
Space group P2_1/c (No. 14)
Asymmetric unit:
Er1 0.0876 0.0521 0.2441 (multiplicity 4)  2 Co 2.67-2.73, 1 Ni 2.68
Er2 0.2375 0.6747 0.0793 (multiplicity 4)  1 Ni 2.58, 2 Co 2.82-2.84
Er3 0.3900 0.1695 0.0664 (multiplicity 4)  1 Ni 2.65, 1 Co 2.71
Co1 0.3119 0.1172 0.7703 (multiplicity 4)  6 Er 2.67-2.99
Ni1 0.5000 0.0000 0.5000 (multiplicity 2)  6 Er 2.58-2.68

Formation energy from the elements: -0.188 eV/atom
Uncorrected energy: -5.451 eV/atom



2.
Compound: Er6CoNi2
Source: Alexandria via LeMat-Bulk
Functional: GGA-PBE
Structure: optimized geometry

Cell lengths 6.3384, 7.0369, 11.4850 Å; angles 90.00, 122.93, 90.00 degrees
Closest atoms and distances in Å follow each position.
Space group P2_1/c (No. 14)
Asymmetric unit:
Er1 0.0981 0.0423 0.2495 (multiplicity 4)  1 Co 2.62, 2 Ni 2.73-2.79
Er2 0.2335 0.6775 0.0713 (multiplicity 4)  1 Co 2.57, 2 Ni 2.79-2.87
Er3 0.3945 0.1779 0.0697 (multiplicity 4)  1 Co 2.61, 2 Ni 2.80-2.84
Co1 0.5000 0.0000 0.5000 (multiplicity 2)  6 Er 2.57-2.62
Ni1 0.3070 0.1167 0.7529 (multiplicity 4)  6 Er 2.73-2.87

Formation energy from the elements: -0.251 eV/atom
Uncorrected energy: -5.368 eV/atom



3.
Compound: ErCo3Ni3
Source: Alexandria via LeMat-Bulk
Functional: GGA-PBE
Structure: optimized geometry

Cell lengths 6.1682, 6.1682, 6.1682 Å; angles 90.00, 90.00, 90.00 degrees
Closest atoms and distances in Å follow each position.
Space group Pm-3n (No. 223)
Asymmetric unit:
Er1 0.0000 0.0000 0.0000 (multiplicity 2)  12 Co 3.45, 12 Ni 3.45
Co1 0.0000 0.2500 0.5000 (multiplicity 6)  4 Ni 2.18
Ni1 0.0000 0.5000 0.2500 (multiplicity 6)  4 Co 2.18

Formation energy from the elements: 0.528 eV/atom
Uncorrected energy: -5.647 eV/atom



> Number 2 is which compound?

Er6CoNi2